Compound: Ta2AgIr
Source: Alexandria
Functional: GGA-PBE
Structure: relaxed

Lattice parameters (Å, degrees): 2.905 2.905 8.230 90.00 90.00 90.00
Space group P4mm (No. 99)
Inequivalent atoms, fractional coordinates:
Ta  0.000  0.000  0.000 x1
Ta  0.500  0.500  0.269 x1
Ag  0.000  0.000  0.532 x1
Ir  0.500  0.500  0.788 x1

Values from the calculation:
Final energy (eV/cell): -35.39
ΔH_f (0 K) (eV/atom): 0.01